Entry from the Alexandria database: an optimized crystal structure of Li4Cd2W (GGA-PBE).

Calculated values
calculated density	4.416	Mg/m³
ΔE_f	0.85	eV/atom

Cell: 4.807 4.807 7.873 Å, 72.22 72.22 90.00°
Last column: magnetic moment on the atom in μB.
Fractional positions:
Li 0.000 0.500 0.000  0.08
W 0.000 0.000 0.000  2.56
Cd 0.605 0.605 0.790  -0.02
Li 0.193 0.193 0.614  0.02
Cd 0.395 0.395 0.210  -0.02
Li 0.500 0.000 0.000  0.08
Li 0.807 0.807 0.386  0.02